Entry from Alexandria: a geometry-optimized NaCd3As structure (PBE).

Cell lengths 5.294, 5.294, 5.294 Å; angles 90.00, 90.00, 90.00 degrees
Positions (direct):
1 Na 0.000 0.000 0.000
2 Cd 0.000 0.000 0.500
3 Cd 0.000 0.500 0.000
4 Cd 0.500 0.000 0.000
5 As 0.500 0.500 0.500

Calculated values
The value obtained for the size of the total moment is 0.00 μB per atom. The calculated density comes out at 4.87 g/cm3. The value obtained for the formation energy is 749 meV/atom. The calculated total energy is -0.99 eV/atom. The calculation puts the offset from the most stable computed form at 562 meV per atom. As for the symmetry: Pm-3m (221).